## Sr2ZnHg2 (GGA-PBE)

Data for crystalline Sr2ZnHg2 at its relaxed geometry.

The structure in POSCAR format:
```
Sr2ZnHg2
1.0
-2.132 2.132 9.139
2.132 -2.132 9.139
2.132 2.132 -9.139
Sr Zn Hg
2 1 2
direct
0.102 0.102 0.000
0.898 0.898 0.000
0.500 0.500 0.000
0.250 0.750 0.500
0.750 0.250 0.500
```

Values from the calculation:
For the energy above the most stable polymorph in this dataset, the calculation gives 0.209 eV/atom. For the total moment, the calculation gives 0.00 μB/f.u. As for the crystal system: tetragonal. As for the total energy: -1.26 eV per atom.